Entry 1:
Compound: TePd3S
Source: Alexandria via LeMat-Bulk
Functional: GGA-PBE
Structure: optimized geometry

Cell lengths 4.5978, 4.5978, 4.5978 Å; angles 90.00, 90.00, 90.00 degrees
Space group Pm-3m (No. 221)
One atom of each set of equivalent atoms:
Te (0.0000, 0.0000, 0.0000) x1
Pd (0.0000, 0.5000, 0.5000) x3
S (0.5000, 0.5000, 0.5000) x1

Calculated values
DOS at the Fermi energy (states/eV/f.u.): 4.27
ΔE_f (raw) (eV/atom): -0.024
DFT total energy (eV per atom): -4.594
Total magnetization (μB per cell): 0.000

=====

Entry 2:
Compound: Sm3TiIn3Se8
Source: Alexandria via LeMat-Bulk
Functional: GGA-PBE
Structure: optimized geometry

Cell lengths 8.2119, 8.2119, 22.9953 Å; angles 90.00, 90.00, 120.00 degrees
Space group R-3m (No. 166, hexagonal axes)
One atom of each set of equivalent atoms:
Sm (0.0000, 0.5000, 0.0000) x9
Ti (0.0000, 0.0000, 0.0000) x3
In (0.0000, 0.5000, 0.5000) x9
Se (0.0000, 0.0000, 0.2603) x6
Se (0.0322, 0.5161, 0.7343) x18

Calculated values
DOS at the Fermi energy (states/eV/f.u.): 0.78
ΔE_f (raw) (eV/atom): -1.233
DFT total energy (eV per atom): -5.109
Total magnetization (μB per cell): 0.000

=====

Entry 3:
Compound: Rb12Pd3Cl5
Source: Alexandria via LeMat-Bulk
Functional: GGA-PBE
Structure: optimized geometry

Cell lengths 19.7978, 19.7978, 19.7978 Å; angles 90.00, 90.00, 90.00 degrees
Space group Ia-3d (No. 230)
One atom of each set of equivalent atoms:
Rb (0.0181, 0.0661, 0.6545) x96
Pd (0.0000, 0.2500, 0.1250) x24
Cl (0.0000, 0.0000, 0.0000) x16
Cl (0.0000, 0.2500, 0.3750) x24

Calculated values
DOS at the Fermi energy (states/eV/f.u.): 6.39
ΔE_f (raw) (eV/atom): -0.848
DFT total energy (eV per atom): -2.669
Total magnetization (μB per cell): 0.010

=====

Entry 4:
Compound: LiLaSnPd3
Source: Alexandria via LeMat-Bulk
Functional: GGA-PBE
Structure: optimized geometry

Cell lengths 5.8038, 12.4378, 6.6907 Å; angles 90.00, 90.00, 90.00 degrees
Space group Cmcm (No. 63)
One atom of each set of equivalent atoms:
Li (0.0000, 0.0839, 0.2500) x4
La (0.0000, 0.3253, 0.2500) x4
Sn (0.0000, 0.3699, 0.7500) x4
Pd (0.0000, 0.1538, 0.7500) x4
Pd (0.2495, 0.5000, 0.0000) x8

Calculated values
DOS at the Fermi energy (states/eV/f.u.): 2.26
Formation energy (eV/atom): -0.6064
DFT total energy (eV per atom): -5.010
Total magnetization (μB per cell): 0.000

=====

Entry 5:
Compound: Ac4NiAs2
Source: Alexandria via LeMat-Bulk
Functional: GGA-PBE
Structure: optimized geometry

Cell lengths 5.2524, 5.2524, 17.0625 Å; angles 90.00, 90.00, 90.00 degrees
Space group I4/mmm (No. 139)
One atom of each set of equivalent atoms:
Ac (0.0000, 0.0000, 0.1819) x4
Ac (0.0000, 0.5000, 0.0000) x4
Ni (0.0000, 0.0000, 0.0000) x2
As (0.0000, 0.0000, 0.3676) x4

Calculated values
DOS at the Fermi energy (states/eV/f.u.): 5.90
Formation energy (eV/atom): -0.5961
DFT total energy (eV per atom): -5.098
Total magnetization (μB per cell): 0.000

=====

Entry 6:
Compound: MgRu3Se
Source: Alexandria via LeMat-Bulk
Functional: GGA-PBE
Structure: optimized geometry

Cell lengths 4.5278, 4.5278, 4.5278 Å; angles 90.00, 90.00, 90.00 degrees
Space group Pm-3m (No. 221)
One atom of each set of equivalent atoms:
Mg (0.0000, 0.0000, 0.0000) x1
Ru (0.0000, 0.5000, 0.5000) x3
Se (0.5000, 0.5000, 0.5000) x1

Calculated values
DOS at the Fermi energy (states/eV/f.u.): 5.54
ΔE_f (raw) (eV/atom): 0.656
DFT total energy (eV per atom): -5.925
Total magnetization (μB per cell): 0.000

=====

Entry 7:
Compound: MnHgBPd2
Source: Alexandria via LeMat-Bulk
Functional: GGA-PBE
Structure: optimized geometry

Cell lengths 4.2226, 4.2226, 4.4591 Å; angles 90.00, 90.00, 90.00 degrees
Space group P4/mmm (No. 123)
One atom of each set of equivalent atoms:
Mn (0.0000, 0.0000, 0.0000) x1
Hg (0.5000, 0.5000, 0.0000) x1
B (0.5000, 0.5000, 0.5000) x1
Pd (0.0000, 0.5000, 0.5000) x2

Calculated values
DOS at the Fermi energy (states/eV/f.u.): 2.78
Formation energy (eV/atom): 0.2150
DFT total energy (eV per atom): -5.092
Total magnetization (μB per cell): 4.299

=====

Entry 8:
Compound: Li3CeTl4
Source: Alexandria via LeMat-Bulk
Functional: GGA-PBE
Structure: optimized geometry

Cell lengths 4.9913, 4.9913, 26.3543 Å; angles 90.00, 90.00, 120.00 degrees
Space group R-3m (No. 166, hexagonal axes)
One atom of each set of equivalent atoms:
Li (0.0000, 0.0000, 0.0000) x3
Li (0.0000, 0.0000, 0.2544) x6
Ce (0.0000, 0.0000, 0.5000) x3
Tl (0.0000, 0.0000, 0.1131) x6
Tl (0.0000, 0.0000, 0.3720) x6

Calculated values
DOS at the Fermi energy (states/eV/f.u.): 8.44
Formation energy (eV/atom): -0.2261
DFT total energy (eV per atom): -2.869
Total magnetization (μB per cell): 2.885

=====

Entry 9:
Compound: HoAl3Os
Source: Alexandria via LeMat-Bulk
Functional: GGA-PBE
Structure: optimized geometry

Cell lengths 6.4133, 6.4133, 6.4133 Å; angles 90.00, 90.00, 90.00 degrees
Space group Pm-3m (No. 221)
One atom of each set of equivalent atoms:
Ho (0.0000, 0.0000, 0.5000) x3
Al (0.0000, 0.0000, 0.0000) x1
Al (0.2904, 0.2904, 0.2904) x8
Os (0.0000, 0.5000, 0.5000) x3

Calculated values
DOS at the Fermi energy (states/eV/f.u.): 1.81
Formation energy (eV/atom): -0.5597
DFT total energy (eV per atom): -5.967
Total magnetization (μB per cell): 0.000

=====

Entry 10:
Compound: RbIn2Ga6
Source: Alexandria via LeMat-Bulk
Functional: GGA-PBE
Structure: optimized geometry

Cell lengths 12.8157, 9.1778, 4.3416 Å; angles 90.00, 108.80, 90.00 degrees
Space group C2/m (No. 12)
One atom of each set of equivalent atoms:
Rb (0.0000, 0.0000, 0.0000) x2
In (0.1530, 0.5000, 0.1498) x4
Ga (0.0000, 0.3548, 0.5000) x4
Ga (0.1953, 0.2484, 0.6974) x8

Calculated values
DOS at the Fermi energy (states/eV/f.u.): 4.15
Formation energy (eV/atom): 0.0049
DFT total energy (eV per atom): -2.729
Total magnetization (μB per cell): 0.000

=====

Entry 11:
Compound: TbLuTe2
Source: Alexandria via LeMat-Bulk
Functional: GGA-PBE
Structure: optimized geometry

Cell lengths 7.5231, 7.5231, 7.5231 Å; angles 90.00, 90.00, 90.00 degrees
Space group Fm-3m (No. 225)
One atom of each set of equivalent atoms:
Tb (0.0000, 0.0000, 0.0000) x4
Lu (0.0000, 0.0000, 0.5000) x4
Te (0.2500, 0.2500, 0.2500) x8

Calculated values
DOS at the Fermi energy (states/eV/f.u.): 2.41
ΔE_f (raw) (eV/atom): -1.086
DFT total energy (eV per atom): -4.944
Total magnetization (μB per cell): 4.812

=====

Entry 12:
Compound: Pm2PrSm2Y6
Source: Alexandria via LeMat-Bulk
Functional: GGA-PBE
Structure: optimized geometry

Cell lengths 5.7660, 12.1476, 10.6166 Å; angles 90.00, 90.05, 90.00 degrees
Space group C2/m (No. 12)
One atom of each set of equivalent atoms:
Pm (0.0000, 0.2071, 0.0000) x4
Pr (0.0000, 0.5000, 0.0000) x2
Sm (0.0000, 0.1318, 0.5000) x4
Y (0.0007, 0.0000, 0.7908) x4
Y (0.0006, 0.3483, 0.7010) x8

Calculated values
DOS at the Fermi energy (states/eV/f.u.): 16.89
Formation energy (eV/atom): 0.1473
DFT total energy (eV per atom): -5.535
Total magnetization (μB per cell): 0.000

=====

Entry 13:
Compound: TmSbPt
Source: Alexandria via LeMat-Bulk
Functional: GGA-PBE
Structure: optimized geometry

Cell lengths 6.5605, 6.5605, 6.5605 Å; angles 90.00, 90.00, 90.00 degrees
Space group F-43m (No. 216)
One atom of each set of equivalent atoms:
Tm (0.0000, 0.0000, 0.0000) x4
Sb (0.0000, 0.0000, 0.5000) x4
Pt (0.2500, 0.2500, 0.7500) x4

Calculated values
DOS at the Fermi energy (states/eV/f.u.): 0.07
ΔE_f (raw) (eV/atom): -1.226
DFT total energy (eV per atom): -6.104
Total magnetization (μB per cell): 0.000

=====

Entry 14:
Compound: Ta2InRe
Source: Alexandria via LeMat-Bulk
Functional: GGA-PBE
Structure: optimized geometry

Cell lengths 4.2563, 4.2563, 7.8828 Å; angles 90.00, 90.00, 90.00 degrees
Space group I4/mmm (No. 139)
One atom of each set of equivalent atoms:
Ta (0.0000, 0.5000, 0.2500) x4
In (0.0000, 0.0000, 0.0000) x2
Re (0.0000, 0.0000, 0.5000) x2

Calculated values
DOS at the Fermi energy (states/eV/f.u.): 2.20
Formation energy (eV/atom): 0.1810
DFT total energy (eV per atom): -9.542
Total magnetization (μB per cell): 0.000

=====

Entry 15:
Compound: Tb2IrPb2
Source: Alexandria via LeMat-Bulk
Functional: GGA-PBE
Structure: optimized geometry

Cell lengths 3.5115, 3.5115, 21.4968 Å; angles 90.00, 90.00, 90.00 degrees
Space group I4/mmm (No. 139)
One atom of each set of equivalent atoms:
Tb (0.0000, 0.0000, 0.0765) x4
Ir (0.0000, 0.0000, 0.5000) x2
Pb (0.0000, 0.0000, 0.3079) x4

Calculated values
DOS at the Fermi energy (states/eV/f.u.): 2.56
Formation energy (eV/atom): -0.4446
DFT total energy (eV per atom): -5.552
Total magnetization (μB per cell): 0.000